! LaNiO2 (GGA+U, relaxed); values from VASP
! Symmetry: I-42d (122)
! Size of the total moment: 1.1 μB/f.u.
! Total energy: -6.101 eV per atom
! Calculated volume: 16.15 Å³ per atom
! Fermi-level density of states: 1.3 states/eV/f.u.
&SYSTEM
  ibrav = 0, nat = 8, ntyp = 3
/
ATOMIC_SPECIES
O 16.00 O.upf
La 138.91 La.upf
Ni 58.69 Ni.upf
ATOMIC_POSITIONS crystal
O 0.8750 0.8320 0.7500
O 0.1680 0.6250 0.2500
O 0.3750 0.4180 0.7500
O 0.5820 0.1250 0.2500
La 0.0000 0.0000 0.0000
La 0.7500 0.2500 0.5000
Ni 0.5000 0.5000 0.0000
Ni 0.2500 0.7500 0.5000
CELL_PARAMETERS angstrom
-3.2374 2.4106 -2.6009
-2.1808 -4.1304 -1.1137
-5.9728 -0.3576 2.6707